A plane-wave DFT calculation with PBE was carried out for a relaxed K2Dy crystal.

Unit cell a=18.018 b=18.018 c=18.018 alpha=90.00 beta=90.00 gamma=90.00
Space group Fd-3m (No. 227, origin choice 2)
Inequivalent atoms, fractional coordinates:
K (0.000, 0.000, 0.000) x16
Dy (0.125, 0.125, 0.125) x8

Size of the total moment (μB per formula unit): 3.00
Raw total energy (eV per cell): -18.87

***

A plane-wave DFT calculation with PBE was carried out for a relaxed K2Dy crystal.

Unit cell a=10.460 b=10.460 c=10.460 alpha=90.00 beta=90.00 gamma=90.00
Space group Fd-3m (No. 227, origin choice 2)
Inequivalent atoms, fractional coordinates:
K (0.000, 0.000, 0.000) x16
Dy (0.125, 0.125, 0.625) x8

Size of the total moment (μB per formula unit): 1.24
Raw total energy (eV per cell): -37.58

***

A plane-wave DFT calculation with PBE was carried out for a relaxed K2Dy crystal.

Unit cell a=9.369 b=9.369 c=9.369 alpha=90.00 beta=90.00 gamma=90.00
Space group Fm-3m (No. 225)
Inequivalent atoms, fractional coordinates:
K (0.250, 0.250, 0.250) x8
Dy (0.000, 0.000, 0.000) x4

Size of the total moment (μB per formula unit): 1.80
Raw total energy (eV per cell): -14.85